1.
A relaxed Li2CuBr4 crystal. Source: Alexandria, functional GGA-PBE.

abc: 6.802 6.802 4.836
angles: 90.00 90.00 90.00
Sites, in units of the cell vectors:
Li 0.000 0.500 0.000
Li 0.500 0.000 0.000
Cu 0.000 0.000 0.000
Br 0.233 0.233 0.814
Br 0.233 0.767 0.186
Br 0.767 0.233 0.186
Br 0.767 0.767 0.814

Values from the calculation:
Formation energy from raw total energies: -953 meV/atom
Offset from the most stable computed form: 0 meV/atom
Space-group type: P-42m (111)
Magnetization: 0.14 μB per atom

2.
A relaxed ErBiPd2 crystal. Source: Alexandria, functional GGA-PBE.

abc: 3.616 3.616 6.525
angles: 90.00 90.00 90.00
Sites, in units of the cell vectors:
Er 0.000 0.000 0.000
Bi 0.000 0.000 0.500
Pd 0.500 0.500 0.226
Pd 0.500 0.500 0.774

Values from the calculation:
Space-group type: P4/mmm (123)
Energy relative to the elements: -668 meV per atom
Magnetization: 0.00 μB per atom

3.
A relaxed U2MnPd9 crystal. Source: Alexandria, functional GGA-PBE.

abc: 4.092 4.092 12.091
angles: 90.00 90.00 90.00
Sites, in units of the cell vectors:
U 0.000 0.000 0.176
U 0.000 0.000 0.824
Mn 0.000 0.000 0.500
Pd 0.000 0.500 0.000
Pd 0.000 0.500 0.339
Pd 0.000 0.500 0.661
Pd 0.500 0.000 0.000
Pd 0.500 0.000 0.339
Pd 0.500 0.000 0.661
Pd 0.500 0.500 0.169
Pd 0.500 0.500 0.500
Pd 0.500 0.500 0.831

Values from the calculation:
Space-group type: P4/mmm (123)
Energy relative to the elements: -450 meV per atom
Magnetization: 0.68 μB per atom

4.
A relaxed TaTiNiMo crystal. Source: Alexandria, functional GGA-PBE.

abc: 3.193 3.193 6.024
angles: 90.00 90.00 90.00
Sites, in units of the cell vectors:
Ta 0.000 0.000 0.000
Ti 0.000 0.000 0.496
Ni 0.500 0.500 0.248
Mo 0.500 0.500 0.744

Values from the calculation:
Space-group type: P4mm (99)
Energy relative to the elements: -226 meV per atom
Magnetization: 0.00 μB per atom

5.
A relaxed K2RbNaP crystal. Source: Alexandria, functional GGA-PBE.

abc: 6.514 6.514 5.641
angles: 90.00 90.00 90.00
Sites, in units of the cell vectors:
K 0.000 0.500 0.000
K 0.500 0.000 0.000
Rb 0.000 0.000 0.500
Na 0.500 0.500 0.500
P 0.500 0.500 0.000

Values from the calculation:
Space-group type: P4/mmm (123)
Energy relative to the elements: -89 meV per atom
Magnetization: 0.00 μB per atom

6.
A relaxed PbN2F crystal. Source: Alexandria, functional GGA-PBE.

abc: 7.434 7.434 7.434
angles: 145.52 145.52 49.55
Sites, in units of the cell vectors:
Pb 0.000 0.000 0.000
Pb 0.750 0.250 0.500
N 0.104 0.625 0.979
N 0.375 0.354 0.479
N 0.646 0.125 0.021
N 0.875 0.896 0.521
F 0.250 0.750 0.500
F 0.500 0.500 0.000

Values from the calculation:
Formation energy from raw total energies: 1494 meV/atom
Offset from the most stable computed form: 350 meV/atom
Space-group type: I-42d (122)
Magnetization: 0.76 μB per atom

7.
A relaxed LiScTc2 crystal. Source: Alexandria, functional GGA-PBE.

abc: 2.708 2.708 9.110
angles: 90.00 90.00 109.98
Sites, in units of the cell vectors:
Li 0.000 0.000 0.000
Sc 0.000 0.000 0.500
Tc 0.500 0.500 0.249
Tc 0.500 0.500 0.751

Values from the calculation:
Offset from the most stable computed form: 242 meV/atom
Space-group type: Cmmm (65)
Energy relative to the elements: 202 meV per atom
Magnetization: 0.00 μB per atom

8.
A relaxed Sc2Hg2Bi crystal. Source: Alexandria, functional GGA-PBE.

abc: 8.194 8.194 8.194
angles: 151.05 151.05 41.40
Sites, in units of the cell vectors:
Sc 0.097 0.097 0.000
Sc 0.903 0.903 0.000
Hg 0.250 0.750 0.500
Hg 0.750 0.250 0.500
Bi 0.500 0.500 0.000

Values from the calculation:
Offset from the most stable computed form: 205 meV/atom
Space-group type: I4/mmm (139)
Energy relative to the elements: -164 meV per atom
Magnetization: 0.19 μB per atom

Question: Which value of magnetization does entry 4 give?
Answer: 0.00 μB per atom

Question: Number 1 is which compound?
Answer: Li2CuBr4